First-principles (GGA-PBE) data for a geometry-optimized LiScUS4 structure, as listed in the Alexandria database.

abc: 7.5501 7.7085 7.7085
angles: 62.42 60.68 60.68
Atoms (fractional coordinates):
Sc 0.0000 0.0000 0.5000
Sc 0.5000 0.0000 0.5000
S 0.2310 0.7589 0.2589
S 0.2488 0.2411 0.7411
S 0.7690 0.2411 0.7411
S 0.7535 0.2217 0.2714
S 0.2465 0.2286 0.2783
S 0.7512 0.7589 0.2589
S 0.7535 0.7714 0.7217
S 0.2465 0.7783 0.7286
Li 0.3643 0.3857 0.8857
Li 0.6357 0.6143 0.1143
U 0.0000 0.0000 0.0000
U 0.0000 0.5000 0.5000

Summary:
Size of the total moment: 2.0 μB per formula unit
Uncorrected energy: -0.4945 Ry/atom
Crystal system: orthorhombic